A plane-wave DFT calculation with PBE was carried out for a relaxed ErAgPbS3 crystal.

Computed properties:
* ΔE to the lowest computed polymorph: 1.26 kcal/mol of atoms
* raw total energy: -4.902 eV per atom
* SG: No. 62

```
ErAgPbS3
1.0
11.885 0.000 0.000
0.000 4.057 0.000
0.000 0.000 11.685
Er S Ag Pb
4 12 4 4
direct
0.027 0.250 0.167
0.973 0.750 0.833
0.473 0.750 0.667
0.527 0.250 0.333
0.531 0.750 0.161
0.246 0.750 0.670
0.414 0.750 0.433
0.586 0.250 0.567
0.469 0.250 0.839
0.254 0.250 0.170
0.031 0.750 0.339
0.086 0.250 0.933
0.969 0.250 0.661
0.746 0.750 0.830
0.914 0.750 0.067
0.754 0.250 0.330
0.744 0.750 0.186
0.244 0.750 0.314
0.256 0.250 0.814
0.756 0.250 0.686
0.336 0.750 0.019
0.164 0.250 0.519
0.664 0.250 0.981
0.836 0.750 0.481
```